# 1
The following is a GGA-PBE calculation of an optimized crystal structure of AlSi2Os, from Alexandria.

Computed properties:
Total magnetic moment in μB/atom: 0.000
Raw formation energy in eV per atom: -0.15
Raw total energy in eV/atom: -6.61

Cell and atoms, written as CIF:
```
data_AlSi2Os
_chemical_formula_sum 'Al2 Si4 Os2'
_cell_length_a 8.322
_cell_length_b 2.968
_cell_length_c 4.510
_cell_angle_alpha 90.00
_cell_angle_beta 95.36
_cell_angle_gamma 90.00
_space_group_name_H-M_alt 'C 1 2/m 1'
_space_group_IT_number 12
loop_
_space_group_symop_operation_xyz
'x,y,z'
'-x,-y,-z'
'-x,y,-z'
'x,-y,z'
'x+1/2,y+1/2,z'
'-x+1/2,-y+1/2,-z'
'-x+1/2,y+1/2,-z'
'x+1/2,-y+1/2,z'
loop_
_atom_site_label
_atom_site_fract_x
_atom_site_fract_y
_atom_site_fract_z
Al1 0.000 0.000 0.000
Si1 0.239 0.000 0.736
Os1 0.000 0.500 0.500
```

=====

# 2
The following is a GGA-PBE calculation of an optimized crystal structure of TbEuPt, from Alexandria.

Computed properties:
Total magnetic moment in μB/atom: 2.425
E above lowest polymorph in meV per atom: 21
Raw total energy in eV/atom: -7.71
Energy relative to the elements in kJ/mol of formula units: -211

Cell and atoms, written as CIF:
```
data_TbEuPt
_chemical_formula_sum 'Tb1 Eu1 Pt1'
_cell_length_a 4.1752
_cell_length_b 4.1752
_cell_length_c 6.4904
_cell_angle_alpha 90.00
_cell_angle_beta 90.00
_cell_angle_gamma 120.00
_space_group_name_H-M_alt 'P 3 m 1'
_space_group_IT_number 156
loop_
_space_group_symop_operation_xyz
'x,y,z'
'-y,x-y,z'
'-x+y,-x,z'
'-y,-x,z'
'-x+y,y,z'
'x,x-y,z'
loop_
_atom_site_label
_atom_site_fract_x
_atom_site_fract_y
_atom_site_fract_z
Tb1 0.0000 0.0000 0.0000
Eu1 0.3333 0.6667 0.5200
Pt1 0.6667 0.3333 0.7874
```

=====

# 3
The following is a GGA-PBE calculation of an optimized crystal structure of HoScTeO2, from Alexandria.

Computed properties:
Total magnetic moment in μB/atom: 0.000
Raw formation energy in eV per atom: -2.88
Raw total energy in eV/atom: -7.68

Cell and atoms, written as CIF:
```
data_HoScTeO2
_chemical_formula_sum 'Ho2 Sc2 Te2 O4'
_cell_length_a 6.635
_cell_length_b 3.993
_cell_length_c 7.460
_cell_angle_alpha 90.00
_cell_angle_beta 107.87
_cell_angle_gamma 90.00
_space_group_name_H-M_alt 'P 1 21/m 1'
_space_group_IT_number 11
loop_
_space_group_symop_operation_xyz
'x,y,z'
'-x,-y,-z'
'-x,y+1/2,-z'
'x,-y+1/2,z'
loop_
_atom_site_label
_atom_site_fract_x
_atom_site_fract_y
_atom_site_fract_z
Ho1 0.177 0.250 0.427
Sc1 0.144 0.250 0.913
Te1 0.458 0.750 0.755
O1 0.016 0.750 0.888
O2 0.020 0.750 0.372
```